[1]
Compound: Ag6Se3Br
Source: Alexandria
Functional: PBE-GGA
Structure: optimized geometry

Space-group type: Cmc2_1, No. 36
Calculated total energy in eV/cell: -60.059

CIF file:
```
data_Ag6Se3Br
_chemical_formula_sum 'Ag12 Se6 Br2'
_space_group_name_H-M_alt 'P 1'
_space_group_IT_number 1
_space_group_name_Hall 'P 1'
_cell_length_a 6.494
_cell_length_b 8.757
_cell_length_c 8.757
_cell_angle_alpha 100.98
_cell_angle_beta 90.00
_cell_angle_gamma 90.00
loop_
_atom_site_label
_atom_site_type_symbol
_atom_site_fract_x
_atom_site_fract_y
_atom_site_fract_z
Se1 Se 0.918 0.098 0.316
Se2 Se 0.956 0.598 0.402
Se3 Se 0.418 0.902 0.684
Se4 Se 0.418 0.316 0.098
Se5 Se 0.456 0.402 0.598
Se6 Se 0.918 0.684 0.902
Ag1 Ag 0.192 0.067 0.528
Ag2 Ag 0.191 0.634 0.666
Ag3 Ag 0.191 0.334 0.366
Ag4 Ag 0.691 0.366 0.334
Ag5 Ag 0.692 0.933 0.472
Ag6 Ag 0.192 0.472 0.933
Ag7 Ag 0.691 0.666 0.634
Ag8 Ag 0.025 0.785 0.215
Ag9 Ag 0.692 0.528 0.067
Ag10 Ag 0.951 0.991 0.009
Ag11 Ag 0.525 0.215 0.785
Ag12 Ag 0.451 0.009 0.991
Br1 Br 0.951 0.185 0.815
Br2 Br 0.451 0.815 0.185
```


[2]
Compound: AgSe2Br
Source: Alexandria
Functional: PBE-GGA
Structure: optimized geometry

Space-group type: Imm2, No. 44
Relative energy among the computed polymorphs in meV per atom: 187
Calculated total energy in eV/cell: -11.246

CIF file:
```
data_AgSe2Br
_chemical_formula_sum 'Ag1 Se2 Br1'
_space_group_name_H-M_alt 'P 1'
_space_group_IT_number 1
_space_group_name_Hall 'P 1'
_cell_length_a 6.128
_cell_length_b 6.128
_cell_length_c 8.334
_cell_angle_alpha 132.86
_cell_angle_beta 132.86
_cell_angle_gamma 80.44
loop_
_atom_site_label
_atom_site_type_symbol
_atom_site_fract_x
_atom_site_fract_y
_atom_site_fract_z
Ag1 Ag 0.507 0.493 0.000
Br1 Br 0.811 0.189 0.500
Se1 Se 0.268 0.732 0.500
Se2 Se 0.913 0.087 0.000
```


- Which formula does entry 1 have?
  Ag6Se3Br